Material: HfGeRh
Method: DFT, SCAN
State: single point on PBEsol structure

Computed properties:
As for the symmetry: No. 189. The total DFT energy (no corrections) is -39.520 eV per atom. For the density of states at the Fermi level, the calculation gives 5.4 states/eV/cell. Its crystal system is hexagonal.

Cell lengths 3.8876, 6.5290, 6.5290 Å; angles 120.00, 90.00, 90.00 degrees
Atoms (fractional coordinates):
Ge: 0.5000 0.0000 0.0000
Hf: 0.5000 0.5753 0.0000
Ge: 0.0000 0.6667 0.3333
Rh: 0.0000 0.7529 0.7529
Hf: 0.5000 0.0000 0.5753
Hf: 0.5000 0.4247 0.4247
Rh: 0.0000 0.2471 0.0000
Ge: 0.0000 0.3333 0.6667
Rh: 0.0000 0.0000 0.2471